Entry 1:
# ZrBr3F

ZrBr3F after structural relaxation (PBEsol, Alexandria via LeMat-Bulk).

The density of states at the Fermi level is 7.430 states/eV/f.u. For the formation energy without anion corrections, the calculation gives 8.7 kJ per mole of atoms. The calculation puts the magnetic moment at 1.309 μB per formula unit. As for the energy: -16.18 eV/cell.

The space group is Pm-3m (No. 221) and the conventional cell measures 4.782, 4.782 and 4.782 Å, with angles of 90.00, 90.00 and 90.00 degrees. The distinct sites, in fractional coordinates, are Zr at (0.000, 0.000, 0.000), Br at (0.000, 0.500, 0.500) and F at (0.500, 0.500, 0.500).

Entry 2:
# NaSi2Bi2

NaSi2Bi2 after structural relaxation (PBEsol, Alexandria via LeMat-Bulk).

The density of states at the Fermi level is 1.810 states/eV/f.u. For the formation energy without anion corrections, the calculation gives 20.5 kJ per mole of atoms. The calculation puts the magnetic moment at 0.000 μB per formula unit. As for the energy: -40.81 eV/cell.

The space group is P4/mbm (No. 127) and the conventional cell measures 7.984, 7.984 and 3.818 Å, with angles of 90.00, 90.00 and 90.00 degrees. The distinct sites, in fractional coordinates, are Na at (0.000, 0.000, 0.000), Si at (0.109, 0.391, 0.000) and Bi at (0.176, 0.676, 0.500).

Entry 3:
# La3AlCoS7

La3AlCoS7 after structural relaxation (PBEsol, Alexandria via LeMat-Bulk).

The density of states at the Fermi level is 1.992 states/eV/f.u. For the formation energy without anion corrections, the calculation gives -162.1 kJ per mole of atoms. The calculation puts the magnetic moment at 0.991 μB per formula unit. As for the energy: -157.45 eV/cell.

The space group is P6_3 (No. 173) and the conventional cell measures 10.1582, 10.1582 and 5.9844 Å, with angles of 90.00, 90.00 and 120.00 degrees. The distinct sites, in fractional coordinates, are La at (0.1401, 0.3710, 0.0000), Al at (0.3333, 0.6667, 0.4207), Co at (0.0000, 0.0000, 0.2844), S at (0.0841, 0.2200, 0.5420), S at (0.0995, 0.5811, 0.2770) and S at (0.3333, 0.6667, 0.7903).